The following is a PBEsol calculation of a relaxed structure of TlCrSe2, from Alexandria via LeMat-Bulk. Values from VASP.

VASP energy (eV/atom): -5.565
Uncorrected formation energy (eV/atom): -0.42
ρ (g/cm3): 7.74

The structure in Quantum ESPRESSO input format:
```
&SYSTEM
  ibrav = 0, nat = 12, ntyp = 3
/
ATOMIC_SPECIES
Tl 204.38 Tl.upf
Cr 52.00 Cr.upf
Se 78.96 Se.upf
ATOMIC_POSITIONS crystal
Tl 0.0000 0.0000 0.0000
Tl 0.3333 0.6667 0.6667
Tl 0.6667 0.3333 0.3333
Cr 0.0000 0.0000 0.5000
Cr 0.3333 0.6667 0.1667
Cr 0.6667 0.3333 0.8333
Se 0.0000 0.0000 0.2268
Se 0.0000 0.0000 0.7732
Se 0.3333 0.6667 0.4399
Se 0.3333 0.6667 0.8934
Se 0.6667 0.3333 0.1066
Se 0.6667 0.3333 0.5601
CELL_PARAMETERS angstrom
3.7382 0.0000 0.0000
-1.8691 3.2374 0.0000
0.0000 0.0000 22.0477
```